1.
6
Lattice="-2.044 3.257 2.821 2.411 -1.662 3.665 4.944 6.118 -3.480" Properties=species:S:1:pos:R:3 comment="GGA-PBE NpBi5, relaxed" dos_ef_per_ev_cell=14.62 formation_enthalpy_0k_ev_per_fu=0.11 final_energy_ev_per_cell=-32.24 magnetic_moment_mub_per_fu=4.4 pbc="T T T"
Bi 0.945 3.320 0.883
Bi 3.089 0.789 1.328
Bi 4.365 4.393 2.123
Bi 0.183 0.797 3.243
Bi 4.265 3.667 -1.143
Np 0.000 0.000 0.000

=====

2.
18
Lattice="6.860 0.000 0.000 0.000 8.657 -4.998 0.000 0.000 9.997" Properties=species:S:1:pos:R:3 comment="GGA-PBE La5PrBi3, relaxed" dos_ef_per_ev_cell=20.78 formation_enthalpy_0k_ev_per_fu=-5.71 final_energy_ev_per_cell=-93.55 magnetic_moment_mub_per_fu=3.4 pbc="T T T"
La 3.430 2.886 4.999
La 1.715 5.778 -3.336
La 0.000 5.772 0.000
La 3.430 5.772 0.000
La 1.715 2.880 1.663
La 5.145 0.000 3.325
La 1.715 8.657 1.673
La 0.000 2.886 4.999
La 5.145 5.778 3.336
La 5.145 2.879 -1.662
Bi 1.715 5.772 3.333
Bi 1.715 8.657 -1.667
Bi 5.145 5.772 -3.332
Bi 1.715 2.886 -1.666
Bi 5.145 0.001 6.665
Bi 5.145 2.886 1.666
Pr 3.430 0.000 0.000
Pr 0.000 0.000 0.000

=====

3.
4
Lattice="-2.370 -1.314 -1.583 2.787 -2.739 -1.898 -0.660 -3.191 3.636" Properties=species:S:1:pos:R:3 comment="GGA-PBE CaCuRe2, relaxed" relative_energy_mev_per_atom=276 dos_ef_per_ev_cell=2.36 formation_enthalpy_0k_ev_per_fu=2.24 final_energy_ev_per_cell=-28.76 magnetic_moment_mub_per_fu=0.0 pbc="T T T"
Re 0.208 -2.027 -1.741
Re 0.000 0.000 0.000
Ca -1.515 -2.252 1.026
Cu 1.063 -2.965 0.869

=====

4.
8
Lattice="7.067 0.000 0.000 0.000 7.067 0.000 3.533 3.533 2.955" Properties=species:S:1:pos:R:3 comment="GGA-PBE Ge2MoAu, relaxed" relative_energy_mev_per_atom=483 dos_ef_per_ev_cell=7.52 formation_enthalpy_0k_ev_per_fu=2.09 final_energy_ev_per_cell=-42.51 magnetic_moment_mub_per_fu=1.4 pbc="T T T"
Au 0.000 0.000 0.000
Au 7.067 3.533 1.478
Ge 1.755 5.300 0.739
Ge 5.300 5.288 2.216
Ge 5.312 1.767 0.739
Ge 8.833 8.845 2.216
Mo 3.533 3.533 0.000
Mo 3.533 7.067 1.478

=====

5.
18
Lattice="-2.095 1.181 7.590 4.693 -6.136 -1.925 12.297 8.768 2.030" Properties=species:S:1:pos:R:3 comment="GGA-PBE CaTbInI6, relaxed" dos_ef_per_ev_cell=0.00 e_form_raw_ev_per_atom=-1.259 final_energy_ev_per_cell=-60.00 magnetic_moment_mub_per_fu=0.0 pbc="T T T"
I 3.208 3.919 5.596
I 0.911 1.548 3.042
I 1.245 0.139 7.103
I 9.493 3.309 0.646
I 3.264 -1.956 3.921
I 13.651 3.674 0.592
I 5.402 0.505 7.049
I 9.472 2.364 4.852
I 11.632 5.769 3.773
I 5.423 1.450 2.843
I 11.688 -0.106 2.098
I 13.985 2.265 4.653
Tb 11.653 2.879 2.769
Tb 3.242 0.934 4.925
In 0.000 0.000 0.000
In 6.149 4.384 1.015
Ca 9.390 5.318 5.941
Ca 5.505 -1.505 1.754

=====

6.
5
Lattice="5.370 0.000 0.000 0.000 5.370 0.000 0.000 0.000 5.370" Properties=species:S:1:pos:R:3 comment="GGA-PBE Y3TiBi, relaxed" relative_energy_mev_per_atom=0 dos_ef_per_ev_cell=5.63 formation_enthalpy_0k_ev_per_fu=1.59 final_energy_ev_per_cell=-29.58 magnetic_moment_mub_per_fu=0.0 pbc="T T T"
Bi 2.685 2.685 2.685
Y 2.685 0.000 0.000
Y 0.000 0.000 2.685
Y 0.000 2.685 0.000
Ti 0.000 0.000 0.000

=====

7.
17
Lattice="7.805 0.000 0.000 -2.602 7.359 0.000 -2.602 -3.679 6.373" Properties=species:S:1:pos:R:3 comment="GGA-PBE PmAl4Ag12, relaxed" dos_ef_per_ev_cell=6.53 formation_enthalpy_0k_ev_per_fu=3.80 final_energy_ev_per_cell=-50.13 magnetic_moment_mub_per_fu=0.0 pbc="T T T"
Al 3.902 0.000 0.000
Al -1.301 -1.840 3.186
Al -1.301 3.679 0.000
Al 1.301 1.840 3.186
Ag 4.214 -1.266 4.171
Ag -1.612 4.945 2.201
Ag -0.003 3.808 4.171
Ag 1.612 0.566 5.383
Ag 2.605 -0.129 2.201
Ag -0.990 0.700 3.191
Ag 0.003 -1.709 5.383
Ag 2.598 5.388 0.989
Ag 3.591 2.980 3.182
Ag -2.598 1.837 5.161
Ag 5.200 1.842 1.212
Ag 0.990 3.113 0.989
Pm 0.000 0.000 0.000

=====

8.
8
Lattice="-2.931 4.877 -0.113 -2.169 -1.185 5.127 8.471 1.790 0.839" Properties=species:S:1:pos:R:3 comment="GGA-PBE K2NaHg5, relaxed" relative_energy_mev_per_atom=0 dos_ef_per_ev_cell=4.02 formation_enthalpy_0k_ev_per_fu=-1.74 final_energy_ev_per_cell=-6.77 magnetic_moment_mub_per_fu=0.0 pbc="T T T"
Hg -2.550 1.846 2.507
Hg 3.590 2.279 5.205
Hg -0.220 3.204 0.647
Hg 3.209 5.310 2.585
Hg 0.161 0.173 3.267
K 0.316 3.607 4.126
K 3.055 1.876 1.726
Na 0.000 0.000 0.000

=====

9.
4
Lattice="2.692 0.000 0.000 0.000 2.692 0.000 0.000 0.000 9.265" Properties=species:S:1:pos:R:3 comment="GGA-PBE Li2CdRe, relaxed" dos_ef_per_ev_cell=1.88 formation_enthalpy_0k_ev_per_fu=1.17 final_energy_ev_per_cell=-16.02 magnetic_moment_mub_per_fu=0.0 pbc="T T T"
Re 0.000 0.000 4.563
Li 0.000 0.000 9.193
Li 1.346 1.346 2.463
Cd 1.346 1.346 6.944

=====

10.
14
Lattice="-4.234 0.129 0.370 -1.977 -4.349 3.322 -0.934 6.935 11.339" Properties=species:S:1:pos:R:3 comment="GGA-PBE Dy3ZnGe3, relaxed" dos_ef_per_ev_cell=8.55 formation_enthalpy_0k_ev_per_fu=-5.24 final_energy_ev_per_cell=-68.35 magnetic_moment_mub_per_fu=0.0 pbc="T T T"
Ge -3.022 2.786 13.309
Ge -5.969 -1.828 5.632
Ge -1.543 1.969 6.085
Ge -1.176 4.543 9.400
Ge -4.122 -0.072 1.722
Ge -5.601 0.745 8.946
Dy -5.329 2.218 11.540
Dy -3.103 5.203 11.544
Dy -3.450 2.922 8.371
Dy -1.815 0.497 3.492
Dy -3.694 -0.208 6.660
Dy -4.041 -2.489 3.488
Zn -3.762 2.500 4.941
Zn -3.382 0.214 10.091

=====

11.
4
Lattice="3.492 0.000 0.000 0.000 3.492 0.000 0.000 0.000 7.111" Properties=species:S:1:pos:R:3 comment="GGA-PBE CeNdRh2, relaxed" dos_ef_per_ev_cell=3.89 formation_enthalpy_0k_ev_per_fu=-2.71 final_energy_ev_per_cell=-28.12 magnetic_moment_mub_per_fu=0.0 pbc="T T T"
Rh 0.000 0.000 5.532
Rh 0.000 0.000 1.579
Nd 1.746 1.746 3.556
Ce 1.746 1.746 0.000

=====

12.
12
Lattice="4.576 0.000 -1.882 -0.774 4.510 -1.882 0.245 0.291 7.101" Properties=species:S:1:pos:R:3 comment="GGA-PBE PPbO4, relaxed" dos_ef_per_ev_cell=3.55 e_form_raw_ev_per_atom=-1.676 final_energy_ev_per_cell=-78.02 magnetic_moment_mub_per_fu=0.0 pbc="T T T"
O 1.956 4.434 1.732
O 2.816 2.739 3.822
O 1.123 2.123 1.146
O 1.464 3.660 -1.360
O 0.017 3.335 3.066
O 2.939 1.563 -0.943
O 0.877 1.640 5.155
O -0.352 4.220 0.730
Pb 3.361 1.273 1.668
Pb 0.000 0.000 0.000
P 0.686 3.528 1.668
P 1.901 2.255 -1.882

=====

13.
8
Lattice="8.249 0.000 0.000 0.000 8.249 0.000 4.125 4.125 2.646" Properties=species:S:1:pos:R:3 comment="GGA-PBE Ca2ReW, relaxed" relative_energy_mev_per_atom=1174 dos_ef_per_ev_cell=11.15 formation_enthalpy_0k_ev_per_fu=6.19 final_energy_ev_per_cell=-46.43 magnetic_moment_mub_per_fu=0.1 pbc="T T T"
Ca 6.335 2.062 0.661
Ca 1.914 6.187 0.661
Ca 6.187 6.039 1.984
Ca 10.312 10.460 1.984
Re 0.000 0.000 0.000
Re 8.249 4.125 1.323
W 4.125 4.125 0.000
W 4.125 8.249 1.323

=====

14.
22
Lattice="-3.480 -3.165 -2.343 -2.645 -1.154 5.471 -6.590 11.435 -4.415" Properties=species:S:1:pos:R:3 comment="GGA-PBE Mg7Si4, relaxed" relative_energy_mev_per_atom=31 dos_ef_per_ev_cell=8.04 e_form_raw_ev_per_atom=0.047 final_energy_ev_per_cell=-64.67 magnetic_moment_mub_per_fu=0.0 pbc="T T T"
Mg -9.700 8.230 -6.482
Mg -4.423 1.724 1.765
Mg -9.496 7.453 0.085
Mg -6.265 6.399 -0.855
Mg -7.284 2.796 2.347
Mg -2.821 -0.973 0.155
Mg -4.263 -1.487 2.844
Mg -3.506 1.800 -1.230
Mg -6.798 1.664 -2.858
Mg -6.120 3.431 -0.380
Mg -8.732 5.717 -4.920
Mg -4.721 -3.602 0.494
Mg -8.354 7.955 -2.691
Mg -9.135 2.143 -0.211
Si -5.209 -1.548 -1.410
Si -8.681 4.829 -0.856
Si -10.436 5.750 -2.338
Si -6.798 0.089 1.644
Si -6.139 6.434 -3.775
Si -6.834 -2.326 1.886
Si -5.852 0.605 -0.465
Si -7.230 4.430 -2.877

=====

15.
10
Lattice="-0.021 -1.126 3.458 -2.403 -2.592 -0.859 13.935 -11.686 -3.722" Properties=species:S:1:pos:R:3 comment="GGA-PBE TbSm4Au5, relaxed" dos_ef_per_ev_cell=4.78 formation_enthalpy_0k_ev_per_fu=-8.10 final_energy_ev_per_cell=-47.99 magnetic_moment_mub_per_fu=0.0 pbc="T T T"
Au 8.559 -10.054 -1.310
Au 11.394 -12.431 -2.067
Au 2.951 -5.351 0.188
Au 0.117 -2.973 0.945
Au 5.755 -7.702 -0.561
Sm 8.368 -7.018 -2.235
Sm 5.567 -4.669 -1.487
Sm 2.762 -2.317 -0.738
Sm 11.172 -9.370 -2.984
Tb 0.000 0.000 0.000

=====

16.
5
Lattice="-4.472 -3.418 -0.017 3.347 -4.384 1.122 -0.710 0.900 5.635" Properties=species:S:1:pos:R:3 comment="GGA-PBE InReSb2I, relaxed" relative_energy_mev_per_atom=1181 dos_ef_per_ev_cell=3.38 e_form_raw_ev_per_atom=1.690 final_energy_ev_per_cell=-16.53 magnetic_moment_mub_per_fu=3.7 pbc="T T T"
I -0.355 0.450 2.818
Sb -2.236 -1.709 -0.009
Sb 1.673 -2.192 0.561
Re -0.918 -3.451 3.370
In 0.000 0.000 0.000

=====

17.
12
Lattice="-2.587 -1.088 -4.171 -9.123 -3.766 3.611 -5.515 5.610 -1.073" Properties=species:S:1:pos:R:3 comment="GGA-PBE Sm5Dy5Mg2, relaxed" dos_ef_per_ev_cell=16.22 formation_enthalpy_0k_ev_per_fu=0.16 final_energy_ev_per_cell=-49.64 magnetic_moment_mub_per_fu=0.0 pbc="T T T"
Mg -5.905 -1.151 0.933
Mg -11.320 1.907 -2.566
Dy -5.411 2.999 -3.485
Dy -8.458 3.708 -1.781
Dy -8.767 -2.953 0.148
Dy -11.814 -2.243 1.852
Dy -8.613 0.378 -0.817
Sm -5.638 -0.409 -2.456
Sm -11.478 -1.471 -1.586
Sm 0.000 0.000 0.000
Sm -11.587 1.164 0.823
Sm -5.747 2.227 -0.047

=====

18.
19
Lattice="-4.171 7.156 1.609 -4.299 -0.684 -7.228 -6.162 -4.267 3.875" Properties=species:S:1:pos:R:3 comment="GGA-PBE Tb12Er6Cd, relaxed" relative_energy_mev_per_atom=0 dos_ef_per_ev_cell=30.23 formation_enthalpy_0k_ev_per_fu=2.02 final_energy_ev_per_cell=-81.84 magnetic_moment_mub_per_fu=0.0 pbc="T T T"
Tb -5.700 1.992 -2.505
Tb -2.681 1.839 1.165
Tb -6.143 1.931 1.130
Tb -2.402 0.958 -2.288
Tb -8.251 3.381 -0.947
Tb -11.951 0.367 -2.909
Tb -3.074 -1.567 0.152
Tb -8.932 0.214 0.761
Tb -6.381 -1.176 -0.797
Tb -11.558 3.772 -1.896
Tb -12.230 1.248 0.544
Tb -8.489 0.275 -2.874
Er -9.548 3.100 2.243
Er -8.726 3.451 -4.214
Er -5.083 -0.894 -3.987
Er -9.929 -2.299 -1.390
Er -4.703 4.505 -0.354
Er -5.906 -1.246 2.470
Cd 0.000 0.000 0.000

=====

19.
20
Lattice="-2.445 3.018 -3.249 -5.939 -2.235 4.780 3.596 9.916 1.828" Properties=species:S:1:pos:R:3 comment="GGA-PBE Cd3AgAu6, relaxed" relative_energy_mev_per_atom=0 dos_ef_per_ev_cell=5.79 formation_enthalpy_0k_ev_per_fu=-1.22 final_energy_ev_per_cell=-52.96 magnetic_moment_mub_per_fu=0.0 pbc="T T T"
Au -3.998 8.281 3.077
Au -4.598 1.858 3.821
Au -1.942 6.251 3.583
Au -0.790 2.417 0.282
Au 2.339 9.512 1.078
Au -2.931 0.687 1.535
Au -0.301 5.147 1.280
Au -1.857 10.011 1.824
Au -0.191 8.840 -0.462
Au -4.488 5.550 2.078
Au -2.847 4.447 -0.224
Au -7.128 1.186 2.280
Cd 0.216 7.871 2.283
Cd -5.156 -0.891 2.781
Cd 0.367 11.588 0.577
Cd -2.441 3.479 2.546
Cd -2.347 7.219 0.813
Cd -5.005 2.826 1.076
Ag -0.702 6.134 -1.453
Ag -4.086 4.564 4.811

=====

20.
6
Lattice="4.202 0.000 -1.272 -0.769 5.613 -2.541 0.023 0.034 7.655" Properties=species:S:1:pos:R:3 comment="GGA-PBE PrHo2Te3, relaxed" relative_energy_mev_per_atom=0 dos_ef_per_ev_cell=3.18 e_form_raw_ev_per_atom=-1.309 final_energy_ev_per_cell=-31.21 magnetic_moment_mub_per_fu=0.0 pbc="T T T"
Pr 1.728 2.824 1.921
Te 2.113 0.017 3.191
Te 3.210 1.813 -0.761
Te 0.246 3.835 4.603
Ho 2.896 4.735 -1.798
Ho 0.560 0.912 5.639

=====

21.
3
Lattice="4.907 0.000 0.000 2.454 4.250 0.000 2.454 1.417 4.007" Properties=species:S:1:pos:R:3 comment="GGA-PBE CeNdRh, relaxed" relative_energy_mev_per_atom=121 dos_ef_per_ev_cell=8.26 formation_enthalpy_0k_ev_per_fu=-1.08 final_energy_ev_per_cell=-19.13 magnetic_moment_mub_per_fu=1.2 pbc="T T T"
Rh 2.454 1.417 1.002
Ce 4.907 2.833 2.003
Nd 0.000 0.000 0.000

=====

22.
10
Lattice="-2.020 -1.506 -1.608 1.631 0.445 -2.465 7.511 -12.891 2.644" Properties=species:S:1:pos:R:3 comment="GGA-PBE Al5CuRh4, relaxed" dos_ef_per_ev_cell=1.89 formation_enthalpy_0k_ev_per_fu=-9.22 final_energy_ev_per_cell=-61.43 magnetic_moment_mub_per_fu=0.0 pbc="T T T"
Al 6.571 -12.144 0.345
Al 2.051 -4.385 -1.246
Al 3.561 -6.976 -0.715
Al 5.070 -9.567 -0.183
Al 0.550 -1.809 -1.774
Cu 0.000 0.000 0.000
Rh 1.494 -2.564 0.526
Rh 3.005 -5.158 1.058
Rh 4.505 -7.733 1.586
Rh 6.017 -10.327 2.118